<1>
Crystalline TlMoSCl2 at its relaxed geometry. Source: Alexandria, functional GGA-PBE.

a = 5.1169 Å, b = 5.1169 Å, c = 4.6383 Å
α = 90.00°, β = 90.00°, γ = 90.00°
Last column: magnetic moment on the atom in μB.
Sites, in units of the cell vectors:
Cl (0.5000, 0.0000, 0.0000)  0.03
Cl (0.0000, 0.5000, 0.0000)  0.03
Tl (0.5000, 0.5000, 0.5000)  0.00
S (0.0000, 0.0000, 0.5000)  -0.05
Mo (0.0000, 0.0000, 0.0000)  1.39

Properties
density of states at the Fermi level: 0.505 states/eV per atom


<2>
Crystalline TlMoSCl2 at its relaxed geometry. Source: Alexandria, functional GGA-PBE.

a = 5.2743 Å, b = 5.2743 Å, c = 5.1903 Å
α = 90.00°, β = 90.00°, γ = 90.00°
Last column: magnetic moment on the atom in μB.
Sites, in units of the cell vectors:
Cl (0.5000, 0.0000, 0.0000)  0.02
Cl (0.0000, 0.5000, 0.0000)  0.02
Tl (0.0000, 0.0000, 0.0000)  0.01
S (0.0000, 0.0000, 0.5000)  -0.12
Mo (0.5000, 0.5000, 0.5000)  3.93

Properties
density of states at the Fermi level: 0.577 states/eV per atom


Relative energies, in meV per atom, with the most stable structure set to zero: <1> 0; <2> 1126.


<1>
Crystalline VMoSCl2 at its relaxed geometry. Source: Alexandria, functional GGA-PBE.

a = 4.7922 Å, b = 4.7922 Å, c = 4.7348 Å
α = 90.00°, β = 90.00°, γ = 90.00°
Last column: magnetic moment on the atom in μB.
Sites, in units of the cell vectors:
Cl (0.0000, 0.5000, 0.0000)  0.04
Cl (0.5000, 0.0000, 0.0000)  0.04
Mo (0.5000, 0.5000, 0.5000)  3.89
V (0.0000, 0.0000, 0.0000)  2.14
S (0.0000, 0.0000, 0.5000)  -0.16

Properties
density of states at the Fermi level: 0.609 states/eV per atom


<2>
Crystalline VMoSCl2 at its relaxed geometry. Source: Alexandria, functional GGA-PBE.

a = 4.8818 Å, b = 4.8818 Å, c = 4.6190 Å
α = 90.00°, β = 90.00°, γ = 90.00°
Last column: magnetic moment on the atom in μB.
Sites, in units of the cell vectors:
Cl (0.0000, 0.5000, 0.0000)  0.01
Cl (0.5000, 0.0000, 0.0000)  0.01
S (0.0000, 0.0000, 0.5000)  0.04
V (0.5000, 0.5000, 0.5000)  -3.20
Mo (0.0000, 0.0000, 0.0000)  -0.02

Properties
density of states at the Fermi level: 2.420 states/eV per atom


Relative energies, in meV per atom, with the most stable structure set to zero: <1> 0; <2> 132.